Entry 1:
Here is crystalline PmV2CdO8 at its relaxed geometry from Alexandria via LeMat-Bulk. Energies are from PBE+U. Values from VASP.

Quantum ESPRESSO input file:
```
&SYSTEM
  ibrav = 0, nat = 12, ntyp = 4
/
ATOMIC_SPECIES
Pm 145.00 Pm.upf
V 50.94 V.upf
Cd 112.41 Cd.upf
O 16.00 O.upf
ATOMIC_POSITIONS angstrom
Pm 1.390 -3.625 1.004
V -3.079 -1.297 2.218
V -1.648 -2.465 -1.342
Cd 0.000 0.000 0.000
O -1.687 -0.433 1.613
O -0.281 -2.562 -0.277
O -0.336 -0.758 4.371
O -3.346 -0.480 3.738
O -3.031 -3.290 -0.693
O -4.456 -1.258 1.144
O -2.827 -3.018 2.376
O 0.271 -3.234 3.043
CELL_PARAMETERS angstrom
-6.118 -0.137 -0.128
2.821 -4.793 -2.556
1.608 0.008 5.905
```

Results
**Symmetry**: I-4m2
**Total magnetization**: 1.092 μB/f.u.
**Mass density**: 4.6 g/cm3
**Crystal system**: tetragonal
**E_tot**: -83.885 eV per cell



Entry 2:
Here is crystalline PmCd2WO6 at its relaxed geometry from Alexandria via LeMat-Bulk. Energies are from PBE+U. Values from VASP.

Quantum ESPRESSO input file:
```
&SYSTEM
  ibrav = 0, nat = 20, ntyp = 4
/
ATOMIC_SPECIES
Pm 145.00 Pm.upf
Cd 112.41 Cd.upf
W 183.84 W.upf
O 16.00 O.upf
ATOMIC_POSITIONS angstrom
Pm 2.867 0.000 -0.006
Pm 0.017 2.891 4.163
Cd 5.721 5.577 2.115
Cd 2.872 3.096 6.284
Cd 0.046 0.205 6.201
Cd 2.895 2.686 2.032
W 2.883 0.000 4.158
W 0.000 2.891 0.000
O 1.742 3.826 0.455
O 4.626 4.847 4.612
O 4.025 1.956 7.861
O 1.141 0.935 3.703
O 2.024 4.086 3.613
O 4.908 4.588 7.770
O 3.742 1.697 4.703
O 0.859 1.194 0.545
O 5.111 3.328 1.910
O 2.261 5.345 6.079
O 0.656 2.454 6.406
O 3.506 0.437 2.237
CELL_PARAMETERS angstrom
5.733 0.000 -0.011
0.000 5.782 0.000
0.034 0.000 8.327
```

Results
**Symmetry**: P2_1/c
**Total magnetization**: 1.000 μB/f.u.
**Mass density**: 7.8 g/cm3
**Crystal system**: monoclinic
**E_tot**: -126.732 eV per cell



Entry 3:
Here is crystalline Pm2CdWO8 at its relaxed geometry from Alexandria via LeMat-Bulk. Energies are from PBE+U. Values from VASP.

Quantum ESPRESSO input file:
```
&SYSTEM
  ibrav = 0, nat = 12, ntyp = 4
/
ATOMIC_SPECIES
Pm 145.00 Pm.upf
Cd 112.41 Cd.upf
W 183.84 W.upf
O 16.00 O.upf
ATOMIC_POSITIONS angstrom
Pm 1.887 2.535 5.655
Pm 2.512 2.764 1.953
Cd -0.007 0.126 3.732
W 0.000 0.000 0.000
O 0.457 3.930 1.499
O 2.965 4.032 7.244
O 3.499 0.637 1.448
O 3.942 1.369 6.109
O 1.434 1.268 0.364
O 0.900 4.663 6.160
O 3.067 3.635 4.005
O 1.332 1.665 3.603
CELL_PARAMETERS angstrom
4.546 -0.162 -0.026
-0.133 5.209 0.169
-0.014 0.252 7.464
```

Results
**Symmetry**: P-1
**Total magnetization**: 2.059 μB/f.u.
**Mass density**: 6.7 g/cm3
**Crystal system**: triclinic
**E_tot**: -82.639 eV per cell



- Which value of mass density does entry 2 give?
  7.8 g/cm3